A relaxed VO2 crystal, computed with GGA+U.

As for the total magnetization: 1.0 μB per formula unit. The calculation puts the calculated volume at 12.567 A^3/atom. For the total energy, the calculation gives -7.736 eV per atom.

abc: 4.948 5.371 6.033
angles: 89.65 72.40 81.05
Space group P-1 (No. 2)
One atom of each set of equivalent atoms:
V 0.016 0.245 0.362 [2 per cell]
V 0.358 0.189 0.775 [2 per cell]
O 0.204 0.384 0.585 [2 per cell]
O 0.233 0.911 0.790 [2 per cell]
O 0.258 0.885 0.347 [2 per cell]
O 0.259 0.320 0.054 [2 per cell]